#a
SrAlF (PBE, relaxed); magnetic moment = 0.00 μB per cell
1.0
1.948 -7.873 0.000
1.948 7.873 0.000
0.000 0.000 4.529
Sr Al F
2 2 2
direct
0.162 0.838 0.750
0.838 0.162 0.250
0.465 0.535 0.750
0.535 0.465 0.250
0.243 0.757 0.250
0.757 0.243 0.750

#b
SrAlF (PBE, relaxed); magnetic moment = 0.00 μB per cell
1.0
3.910 0.000 0.000
0.000 3.998 0.000
-0.319 0.000 8.698
Sr Al F
2 2 2
direct
0.235 0.250 0.330
0.765 0.750 0.670
0.262 0.250 0.946
0.738 0.750 0.054
0.251 0.750 0.497
0.749 0.250 0.503

#c
SrAlF (PBE, relaxed); magnetic moment = 0.00 μB per cell
1.0
-2.033 2.033 8.477
2.033 -2.033 8.477
2.033 2.033 -8.477
Sr Al F
2 2 2
direct
0.165 0.165 0.000
0.835 0.835 0.000
0.000 0.500 0.500
0.500 0.000 0.500
0.250 0.750 0.500
0.750 0.250 0.500

Compare the structures above. Which one is the most stable? #a is.